# TbSmGa2Pt5 (PBE-GGA, relaxed)
# **Volume**: 18.4 Å³/atom
# **Fermi-level density of states**: 3.49 states/eV/f.u.
# **Density**: 14.27 g/cm³
# **E_tot**: -6.000 eV/atom
data_TbSmGa2Pt5
_chemical_formula_sum 'Tb1 Sm1 Ga2 Pt5'
_symmetry_space_group_name_H-M 'P 4/m m m'
_symmetry_Int_Tables_number 123
_symmetry_space_group_name_Hall '-P 4 2'
_cell_length_a 4.205
_cell_length_b 4.205
_cell_length_c 9.371
_cell_angle_alpha 90.00
_cell_angle_beta 90.00
_cell_angle_gamma 90.00
loop_
_atom_site_label
_atom_site_type_symbol
_atom_site_fract_x
_atom_site_fract_y
_atom_site_fract_z
Tb1 Tb 0.000 0.000 0.000
Sm1 Sm 0.000 0.000 0.500
Ga1 Ga 0.500 0.500 0.131
Pt1 Pt 0.000 0.500 0.272
Pt2 Pt 0.500 0.500 0.500



# Cs3Hg2Cl7 (PBE-GGA, relaxed)
# **Raw formation energy**: -1.315 eV per atom
# **Energy above the lowest structure with this stoichiometry**: 0.000 eV per atom
# **Volume**: 34.3 Å³/atom
# **Density**: 4.23 g/cm³
data_Cs3Hg2Cl7
_chemical_formula_sum 'Cs6 Hg4 Cl14'
_symmetry_space_group_name_H-M 'I 4/m m m'
_symmetry_Int_Tables_number 139
_symmetry_space_group_name_Hall '-I 4 2'
_cell_length_a 5.457
_cell_length_b 5.457
_cell_length_c 27.603
_cell_angle_alpha 90.00
_cell_angle_beta 90.00
_cell_angle_gamma 90.00
loop_
_atom_site_label
_atom_site_type_symbol
_atom_site_fract_x
_atom_site_fract_y
_atom_site_fract_z
Cs1 Cs 0.000 0.000 0.000
Cs2 Cs 0.000 0.000 0.179
Hg1 Hg 0.000 0.000 0.402
Cl1 Cl 0.000 0.000 0.307
Cl2 Cl 0.000 0.000 0.500
Cl3 Cl 0.000 0.500 0.095



# LiCa (PBE-GGA, relaxed)
# **Energy above the lowest structure with this stoichiometry**: 0.082 eV per atom
# **Volume**: 32.7 Å³/atom
# **Fermi-level density of states**: 1.66 states/eV/f.u.
# **Density**: 1.19 g/cm³
data_LiCa
_chemical_formula_sum 'Li2 Ca2'
_symmetry_space_group_name_H-M 'P -3 m 1'
_symmetry_Int_Tables_number 164
_symmetry_space_group_name_Hall '-P 3 2"'
_cell_length_a 3.7341
_cell_length_b 3.7341
_cell_length_c 10.8477
_cell_angle_alpha 90.00
_cell_angle_beta 90.00
_cell_angle_gamma 120.00
loop_
_atom_site_label
_atom_site_type_symbol
_atom_site_fract_x
_atom_site_fract_y
_atom_site_fract_z
Li1 Li 0.3333 0.6667 0.0982
Ca1 Ca 0.3333 0.6667 0.6494



# ZrHAu (PBE-GGA, relaxed)
# **Energy above the lowest structure with this stoichiometry**: 0.279 eV per atom
# **Volume**: 16.1 Å³/atom
# **Fermi-level density of states**: 2.27 states/eV/f.u.
# **Density**: 9.92 g/cm³
data_ZrHAu
_chemical_formula_sum 'Zr4 H4 Au4'
_symmetry_space_group_name_H-M 'C 1 2/m 1'
_symmetry_Int_Tables_number 12
_cell_length_a 10.428
_cell_length_b 3.563
_cell_length_c 5.229
_cell_angle_alpha 90.00
_cell_angle_beta 94.91
_cell_angle_gamma 90.00
loop_
_symmetry_equiv_pos_as_xyz
'x,y,z'
'-x,-y,-z'
'-x,y,-z'
'x,-y,z'
'x+1/2,y+1/2,z'
'-x+1/2,-y+1/2,-z'
'-x+1/2,y+1/2,-z'
'x+1/2,-y+1/2,z'
loop_
_atom_site_label
_atom_site_type_symbol
_atom_site_fract_x
_atom_site_fract_y
_atom_site_fract_z
Zr1 Zr 0.210 0.000 0.264
H1 H 0.163 0.500 0.421
Au1 Au 0.070 0.000 0.773



# Ce8CoOs5 (PBE-GGA, relaxed)
# **Volume**: 22.6 Å³/atom
# **Fermi-level density of states**: 17.81 states/eV/f.u.
# **Density**: 11.17 g/cm³
# **E_tot**: -8.062 eV/atom
data_Ce8CoOs5
_chemical_formula_sum 'Ce16 Co2 Os10'
_symmetry_space_group_name_H-M 'I -4'
_symmetry_Int_Tables_number 82
_cell_length_a 8.563
_cell_length_b 8.563
_cell_length_c 8.641
_cell_angle_alpha 90.00
_cell_angle_beta 90.00
_cell_angle_gamma 90.00
loop_
_symmetry_equiv_pos_as_xyz
'x,y,z'
'y,-x,-z'
'-x,-y,z'
'-y,x,-z'
'x+1/2,y+1/2,z+1/2'
'y+1/2,-x+1/2,-z+1/2'
'-x+1/2,-y+1/2,z+1/2'
'-y+1/2,x+1/2,-z+1/2'
loop_
_atom_site_label
_atom_site_type_symbol
_atom_site_fract_x
_atom_site_fract_y
_atom_site_fract_z
Ce1 Ce 0.056 0.305 0.439
Ce2 Ce 0.062 0.191 0.820
Co1 Co 0.000 0.000 0.500
Os1 Os 0.000 0.500 0.750
Os2 Os 0.126 0.251 0.129



# ThTc2Ge2H (PBE-GGA, relaxed)
# **Volume**: 15.7 Å³/atom
# **Fermi-level density of states**: 3.81 states/eV/f.u.
# **Density**: 10.11 g/cm³
# **E_tot**: -7.238 eV/atom
data_ThTc2Ge2H
_chemical_formula_sum 'Th1 Tc2 Ge2 H1'
_symmetry_space_group_name_H-M 'P 4/m m m'
_symmetry_Int_Tables_number 123
_symmetry_space_group_name_Hall '-P 4 2'
_cell_length_a 4.199
_cell_length_b 4.199
_cell_length_c 5.352
_cell_angle_alpha 90.00
_cell_angle_beta 90.00
_cell_angle_gamma 90.00
loop_
_atom_site_label
_atom_site_type_symbol
_atom_site_fract_x
_atom_site_fract_y
_atom_site_fract_z
Th1 Th 0.000 0.000 0.000
Tc1 Tc 0.000 0.500 0.500
Ge1 Ge 0.500 0.500 0.232
H1 H 0.000 0.000 0.500



# CsScMn2Te4 (PBE-GGA, relaxed)
# **Raw formation energy**: -0.282 eV per atom
# **Volume**: 41.3 Å³/atom
# **Density**: 4.01 g/cm³
data_CsScMn2Te4
_chemical_formula_sum 'Cs2 Sc2 Mn4 Te8'
_symmetry_space_group_name_H-M 'I 2 2 2'
_symmetry_Int_Tables_number 23
_cell_length_a 6.922
_cell_length_b 9.559
_cell_length_c 9.997
_cell_angle_alpha 90.00
_cell_angle_beta 90.00
_cell_angle_gamma 90.00
loop_
_symmetry_equiv_pos_as_xyz
'x,y,z'
'-x,-y,z'
'x,-y,-z'
'-x,y,-z'
'x+1/2,y+1/2,z+1/2'
'-x+1/2,-y+1/2,z+1/2'
'x+1/2,-y+1/2,-z+1/2'
'-x+1/2,y+1/2,-z+1/2'
loop_
_atom_site_label
_atom_site_type_symbol
_atom_site_fract_x
_atom_site_fract_y
_atom_site_fract_z
Cs1 Cs 0.000 0.000 0.000
Sc1 Sc 0.000 0.000 0.500
Mn1 Mn 0.000 0.500 0.096
Te1 Te 0.237 0.169 0.338



# Ta2PbSI (PBE-GGA, relaxed)
# **Raw formation energy**: 0.799 eV per atom
# **Volume**: 28.2 Å³/atom
# **Fermi-level density of states**: 5.61 states/eV/f.u.
# **Density**: 8.57 g/cm³
data_Ta2PbSI
_chemical_formula_sum 'Ta2 Pb1 S1 I1'
_symmetry_space_group_name_H-M 'P 4/m m m'
_symmetry_Int_Tables_number 123
_symmetry_space_group_name_Hall '-P 4 2'
_cell_length_a 4.592
_cell_length_b 4.592
_cell_length_c 6.693
_cell_angle_alpha 90.00
_cell_angle_beta 90.00
_cell_angle_gamma 90.00
loop_
_atom_site_label
_atom_site_type_symbol
_atom_site_fract_x
_atom_site_fract_y
_atom_site_fract_z
Ta1 Ta 0.000 0.500 0.000
Pb1 Pb 0.000 0.000 0.500
S1 S 0.500 0.500 0.000
I1 I 0.500 0.500 0.500